TiHgMoO6 | GGA+U | optimized geometry

Volume = 13.064 A^3/atom
N(E_F) = 0.000 states/eV/cell
Size of the total moment = 0.0 μB/cell
Raw total energy = -6.74 eV per atom

The structure in CIF format:
```
data_TiHgMoO6
_space_group_name_H-M_alt 'P 3'
_space_group_IT_number 143
_cell_length_a 5.2197
_cell_length_b 5.2197
_cell_length_c 4.9829
_cell_angle_alpha 90.00
_cell_angle_beta 90.00
_cell_angle_gamma 120.00
loop_
_space_group_symop_operation_xyz
'x,y,z'
'-y,x-y,z'
'-x+y,-x,z'
loop_
_atom_site_label
_atom_site_fract_x
_atom_site_fract_y
_atom_site_fract_z
Ti1 0.0000 0.0000 0.0000
Hg1 0.6667 0.3333 0.4355
Mo1 0.3333 0.6667 0.9132
O1 0.0373 0.7010 0.7374
O2 0.0450 0.3404 0.1687
```